1.
The following is a DFT calculation (PBE) of crystalline TbAl2Au7 at its relaxed geometry.

Cell: 7.408 7.408 4.714 Å, 90.00 90.00 119.02°
Sites, in units of the cell vectors:
Tb (0.000, 0.000, 0.000)
Al (0.298, 0.702, 0.500)
Al (0.702, 0.298, 0.500)
Au (0.070, 0.303, 0.500)
Au (0.227, 0.773, 0.000)
Au (0.303, 0.070, 0.500)
Au (0.500, 0.500, 0.500)
Au (0.697, 0.930, 0.500)
Au (0.773, 0.227, 0.000)
Au (0.930, 0.697, 0.500)

Output
The energy relative to the elements is -307 meV per atom. The space-group type is Cmmm. As for the density of states at the Fermi level: 2.63 states/eV/f.u. Its total energy is -0.140 hartree per atom.

2.
The following is a DFT calculation (PBE) of crystalline LiMg4PdAu2 at its relaxed geometry.

Cell: 8.002 8.002 8.002 Å, 33.53 33.53 33.53°
Sites, in units of the cell vectors:
Li (0.000, 0.000, 0.000)
Mg (0.130, 0.130, 0.130)
Mg (0.379, 0.379, 0.379)
Mg (0.621, 0.621, 0.621)
Mg (0.870, 0.870, 0.870)
Pd (0.500, 0.500, 0.500)
Au (0.254, 0.254, 0.254)
Au (0.746, 0.746, 0.746)

Output
The energy relative to the elements is -583 meV per atom. The space-group type is R-3m. As for the density of states at the Fermi level: 3.34 states/eV/f.u. Its total energy is -0.113 hartree per atom.

3.
The following is a DFT calculation (PBE) of crystalline Pr2Si4AgAu3 at its relaxed geometry.

Cell: 4.378 4.378 10.293 Å, 90.00 90.00 90.00°
Sites, in units of the cell vectors:
Pr (0.000, 0.500, 0.247)
Pr (0.500, 0.000, 0.753)
Si (0.000, 0.000, 0.000)
Si (0.000, 0.500, 0.635)
Si (0.500, 0.000, 0.365)
Si (0.500, 0.500, 0.000)
Ag (0.000, 0.000, 0.500)
Au (0.000, 0.500, 0.876)
Au (0.500, 0.000, 0.124)
Au (0.500, 0.500, 0.500)

Output
The space-group type is P-4m2. The value obtained for the raw formation energy is -5.34 eV per formula unit. As for the density of states at the Fermi level: 1.79 states/eV/f.u. Its total energy is -0.181 hartree per atom.

4.
The following is a DFT calculation (PBE) of crystalline SrMg2As at its relaxed geometry.

Cell: 5.303 5.303 5.303 Å, 60.00 60.00 60.00°
Sites, in units of the cell vectors:
Sr (0.000, 0.000, 0.000)
Mg (0.250, 0.250, 0.250)
Mg (0.500, 0.500, 0.500)
As (0.750, 0.750, 0.750)

Output
The energy relative to the elements is -226 meV per atom. The space-group type is F-43m. As for the density of states at the Fermi level: 2.12 states/eV/f.u. Its total energy is -0.096 hartree per atom.

5.
The following is a DFT calculation (PBE) of crystalline Li4Mg6Zn at its relaxed geometry.

Cell: 8.339 8.339 8.339 Å, 140.79 140.79 56.65°
Sites, in units of the cell vectors:
Li (0.050, 0.688, 0.000)
Li (0.312, 0.312, 0.362)
Li (0.688, 0.050, 0.000)
Li (0.950, 0.950, 0.638)
Mg (0.000, 0.500, 0.500)
Mg (0.132, 0.132, 0.618)
Mg (0.486, 0.868, 0.000)
Mg (0.500, 0.000, 0.500)
Mg (0.514, 0.514, 0.382)
Mg (0.868, 0.486, 0.000)
Zn (0.500, 0.500, 0.000)

Output
The energy relative to the elements is 46 meV per atom. The space-group type is I-42m. As for the density of states at the Fermi level: 2.60 states/eV/f.u. Its total energy is -0.060 hartree per atom.

6.
The following is a DFT calculation (PBE) of crystalline LiPuBi at its relaxed geometry.

Cell: 8.872 8.872 8.872 Å, 111.41 88.20 131.79°
Sites, in units of the cell vectors:
Li (0.000, 0.000, 0.000)
Li (0.000, 0.500, 0.500)
Li (0.226, 0.341, 0.886)
Li (0.226, 0.840, 0.385)
Li (0.455, 0.340, 0.114)
Li (0.455, 0.841, 0.615)
Pu (0.229, 0.247, 0.482)
Pu (0.230, 0.750, 0.980)
Pu (0.680, 0.437, 0.743)
Pu (0.694, 0.937, 0.257)
Pu (0.766, 0.747, 0.518)
Pu (0.770, 0.250, 0.020)
Bi (0.226, 0.977, 0.749)
Bi (0.228, 0.477, 0.251)
Bi (0.564, 0.226, 0.332)
Bi (0.564, 0.732, 0.837)
Bi (0.894, 0.232, 0.668)
Bi (0.894, 0.726, 0.163)

Output
The energy relative to the elements is -392 meV per atom. The space-group type is Ima2. For the offset from the most stable computed form, the calculation gives 0.044 eV/atom. As for the density of states at the Fermi level: 11.49 states/eV/f.u. Its total energy is -0.261 hartree per atom.